1.
# LiZn3Pd6 PBE optimized geometry
# * total DFT energy (no corrections): -4.00 eV/atom
# * energy of formation: -310 meV per atom
data_LiZn3Pd6
_chemical_formula_sum 'Li4 Zn12 Pd24'
_space_group_name_H-M_alt 'C m c 21'
_space_group_IT_number 36
_space_group_name_Hall 'C 2c -2'
_cell_length_a 8.742
_cell_length_b 11.937
_cell_length_c 6.143
_cell_angle_alpha 90.00
_cell_angle_beta 90.00
_cell_angle_gamma 90.00
loop_
_atom_site_label
_atom_site_fract_x
_atom_site_fract_y
_atom_site_fract_z
_atom_site_occupancy
Li1 0.000 0.230 0.000 1
Zn1 0.000 0.453 0.273 1
Zn2 0.150 0.123 0.388 1
Pd1 0.000 0.050 0.738 1
Pd2 0.000 0.289 0.560 1
Pd3 0.220 0.459 0.563 1
Pd4 0.237 0.306 0.242 1


2.
# Li2Zn8Pd PBE optimized geometry
# * total DFT energy (no corrections): -1.94 eV/atom
# * energy of formation: -189 meV per atom
data_Li2Zn8Pd
_chemical_formula_sum 'Li4 Zn16 Pd2'
_space_group_name_H-M_alt 'C 1 2/m 1'
_space_group_IT_number 12
_space_group_name_Hall '-C 2y'
_cell_length_a 13.203
_cell_length_b 4.292
_cell_length_c 6.591
_cell_angle_alpha 90.00
_cell_angle_beta 119.84
_cell_angle_gamma 90.00
loop_
_atom_site_label
_atom_site_fract_x
_atom_site_fract_y
_atom_site_fract_z
_atom_site_occupancy
Li1 0.211 0.000 0.208 1
Zn1 0.001 0.000 0.197 1
Zn2 0.140 0.500 0.945 1
Zn3 0.144 0.500 0.342 1
Zn4 0.152 0.000 0.654 1
Pd1 0.000 0.500 0.500 1


3.
# LiZn7Pd2 PBE optimized geometry
# * total DFT energy (no corrections): -1.69 eV/atom
# * energy of formation: 430 meV per atom
data_LiZn7Pd2
_chemical_formula_sum 'Li4 Zn28 Pd8'
_space_group_name_H-M_alt 'F m -3 m'
_space_group_IT_number 225
_space_group_name_Hall '-F 4 2 3'
_cell_length_a 8.850
_cell_length_b 8.850
_cell_length_c 8.850
_cell_angle_alpha 90.00
_cell_angle_beta 90.00
_cell_angle_gamma 90.00
loop_
_atom_site_label
_atom_site_fract_x
_atom_site_fract_y
_atom_site_fract_z
_atom_site_occupancy
Li1 0.000 0.000 0.000 1
Zn1 0.000 0.000 0.241 1
Zn2 0.000 0.000 0.500 1
Pd1 0.250 0.250 0.250 1


4.
# Li4ZnPd3 PBE optimized geometry
# * total DFT energy (no corrections): -3.49 eV/atom
# * energy of formation: -424 meV per atom
data_Li4ZnPd3
_chemical_formula_sum 'Li8 Zn2 Pd6'
_space_group_name_H-M_alt 'C 1 2/m 1'
_space_group_IT_number 12
_space_group_name_Hall '-C 2y'
_cell_length_a 17.955
_cell_length_b 2.972
_cell_length_c 4.339
_cell_angle_alpha 90.00
_cell_angle_beta 103.28
_cell_angle_gamma 90.00
loop_
_atom_site_label
_atom_site_fract_x
_atom_site_fract_y
_atom_site_fract_z
_atom_site_occupancy
Li1 0.118 0.000 0.113 1
Li2 0.245 0.500 0.246 1
Zn1 0.000 0.000 0.500 1
Pd1 0.000 0.500 0.000 1
Pd2 0.129 0.500 0.624 1


5.
# LiZn5Pd PBE optimized geometry
# * total DFT energy (no corrections): -2.05 eV/atom
# * energy of formation: -126 meV per atom
data_LiZn5Pd
_chemical_formula_sum 'Li1 Zn5 Pd1'
_space_group_name_H-M_alt 'P 4/m m m'
_space_group_IT_number 123
_space_group_name_Hall '-P 4 2'
_cell_length_a 3.646
_cell_length_b 3.646
_cell_length_c 8.755
_cell_angle_alpha 90.00
_cell_angle_beta 90.00
_cell_angle_gamma 90.00
loop_
_atom_site_label
_atom_site_fract_x
_atom_site_fract_y
_atom_site_fract_z
_atom_site_occupancy
Li1 0.000 0.000 0.000 1
Zn1 0.000 0.000 0.500 1
Zn2 0.000 0.500 0.250 1
Pd1 0.500 0.500 0.500 1


6.
# Li4Zn5Pd2 PBE optimized geometry
# * total DFT energy (no corrections): -2.54 eV/atom
# * energy of formation: -318 meV per atom
data_Li4Zn5Pd2
_chemical_formula_sum 'Li8 Zn10 Pd4'
_space_group_name_H-M_alt 'C 1 2/m 1'
_space_group_IT_number 12
_space_group_name_Hall '-C 2y'
_cell_length_a 8.844
_cell_length_b 5.211
_cell_length_c 8.300
_cell_angle_alpha 90.00
_cell_angle_beta 118.73
_cell_angle_gamma 90.00
loop_
_atom_site_label
_atom_site_fract_x
_atom_site_fract_y
_atom_site_fract_z
_atom_site_occupancy
Li1 0.187 0.000 0.049 1
Li2 0.191 0.000 0.636 1
Zn1 0.000 0.500 0.000 1
Zn2 0.019 0.250 0.283 1
Pd1 0.184 0.500 0.598 1


7.
# Li4ZnPd5 PBE optimized geometry
# * total DFT energy (no corrections): -3.72 eV/atom
# * energy of formation: -231 meV per atom
data_Li4ZnPd5
_chemical_formula_sum 'Li8 Zn2 Pd10'
_space_group_name_H-M_alt 'I 4'
_space_group_IT_number 79
_space_group_name_Hall 'I 4'
_cell_length_a 7.700
_cell_length_b 7.700
_cell_length_c 4.917
_cell_angle_alpha 90.00
_cell_angle_beta 90.00
_cell_angle_gamma 90.00
loop_
_atom_site_label
_atom_site_fract_x
_atom_site_fract_y
_atom_site_fract_z
_atom_site_occupancy
Li1 0.137 0.753 0.000 1
Zn1 0.000 0.000 0.713 1
Pd1 0.000 0.000 0.227 1
Pd2 0.050 0.674 0.507 1


8.
# Li3Zn2Pd2 PBE optimized geometry
# * total DFT energy (no corrections): -2.97 eV/atom
# * energy of formation: -299 meV per atom
data_Li3Zn2Pd2
_chemical_formula_sum 'Li3 Zn2 Pd2'
_space_group_name_H-M_alt 'P 1 2/m 1'
_space_group_IT_number 10
_space_group_name_Hall '-P 2y'
_cell_length_a 4.079
_cell_length_b 2.749
_cell_length_c 9.930
_cell_angle_alpha 90.00
_cell_angle_beta 101.93
_cell_angle_gamma 90.00
loop_
_atom_site_label
_atom_site_fract_x
_atom_site_fract_y
_atom_site_fract_z
_atom_site_occupancy
Li1 0.000 0.000 0.000 1
Li2 0.295 0.000 0.590 1
Zn1 0.129 0.000 0.258 1
Pd1 0.422 0.500 0.844 1


Respective total magnetization values: 0.0; 0.0; 0.0; 0.0; 0.0; 0.0; 0.0; 0.0 μB/f.u..